A plane-wave DFT calculation with PBE-GGA was carried out for an optimized crystal structure of Sr3Cu3Sn8.

Unit cell a=8.9074 b=8.9074 c=10.1458 alpha=121.40 beta=121.40 gamma=32.48
Closest atoms and distances in Å follow each position.
Element x y z (fractional)
Sr  0.0000  0.0000  0.0000  8 Sn 3.44-3.66, 4 Cu 3.82
Sr  0.2950  0.2950  0.3053  10 Sn 3.40-3.79, 3 Cu 3.45
Sr  0.7050  0.7050  0.6947  10 Sn 3.40-3.79, 3 Cu 3.45
Cu  0.0000  0.0000  0.5000  8 Sn 2.93-3.11
Cu  0.3392  0.3392  0.6798  5 Sn 2.68-2.89
Cu  0.6608  0.6608  0.3202  5 Sn 2.68-2.89
Sn  0.1448  0.1448  0.4289  4 Cu 2.80-2.93
Sn  0.1447  0.1447  0.8609  5 Sn 3.08-3.30, 1 Cu 3.11
Sn  0.3481  0.3481  0.9521  1 Cu 2.68
Sn  0.4982  0.4982  0.6772  1 Cu 2.73
Sn  0.5018  0.5018  0.3228  1 Cu 2.73
Sn  0.6519  0.6519  0.0479  1 Cu 2.68
Sn  0.8553  0.8553  0.1391  5 Sn 3.08-3.30, 1 Cu 3.11
Sn  0.8552  0.8552  0.5711  4 Cu 2.80-2.93

Density of states at the Fermi level, states/eV per cell: 4.8
Total DFT energy (no corrections), eV/cell: -53.3
Formation energy, meV per atom: -278

=====

A plane-wave DFT calculation with PBE-GGA was carried out for an optimized crystal structure of Ce4Dy9Ho11.

Unit cell a=14.9522 b=14.9522 c=3.6413 alpha=90.00 beta=90.00 gamma=112.35
Closest atoms and distances in Å follow each position.
Element x y z (fractional)
Ce  0.0522  0.2508  0.0000  6 Ho 3.23-3.37, 3 Dy 3.51-3.53
Ce  0.2508  0.0522  0.0000  6 Ho 3.23-3.37, 3 Dy 3.51-3.53
Ce  0.7492  0.9478  0.0000  6 Ho 3.23-3.37, 3 Dy 3.51-3.53
Ce  0.9478  0.7492  0.0000  6 Ho 3.23-3.37, 3 Dy 3.51-3.53
Dy  0.0000  0.0000  0.0000  4 Ce 3.53, 2 Dy 3.64, 4 Ho 3.86
Dy  0.1351  0.6610  0.0000  3 Dy 3.39-3.64, 8 Ho 3.46-3.63, 1 Ce 3.52
Dy  0.2860  0.4314  0.0000  8 Ho 3.48-3.64, 1 Ce 3.51, 3 Dy 3.61-3.64
Dy  0.3390  0.8649  0.0000  3 Dy 3.39-3.64, 8 Ho 3.46-3.63, 1 Ce 3.52
Dy  0.4314  0.2860  0.0000  8 Ho 3.48-3.64, 1 Ce 3.51, 3 Dy 3.61-3.64
Dy  0.5686  0.7140  0.0000  8 Ho 3.48-3.64, 1 Ce 3.51, 3 Dy 3.61-3.64
Dy  0.6610  0.1351  0.0000  3 Dy 3.39-3.64, 8 Ho 3.46-3.63, 1 Ce 3.52
Dy  0.7140  0.5686  0.0000  8 Ho 3.48-3.64, 1 Ce 3.51, 3 Dy 3.61-3.64
Dy  0.8649  0.3390  0.0000  3 Dy 3.39-3.64, 8 Ho 3.46-3.63, 1 Ce 3.52
Ho  0.0905  0.4514  0.5000  2 Ce 3.37, 6 Dy 3.46-3.63, 3 Ho 3.53-3.64
Ho  0.1371  0.8629  0.5000  4 Ce 3.25, 4 Dy 3.52
Ho  0.2120  0.2120  0.5000  4 Ce 3.23, 4 Dy 3.54
Ho  0.3426  0.6574  0.5000  8 Dy 3.61-3.64, 5 Ho 3.64-3.91
Ho  0.4514  0.0905  0.5000  2 Ce 3.37, 6 Dy 3.46-3.63, 3 Ho 3.53-3.64
Ho  0.5000  0.5000  0.5000  8 Dy 3.48, 2 Ho 3.64
Ho  0.5486  0.9095  0.5000  2 Ce 3.37, 6 Dy 3.46-3.63, 3 Ho 3.53-3.64
Ho  0.6574  0.3426  0.5000  8 Dy 3.61-3.64, 5 Ho 3.64-3.91
Ho  0.7880  0.7880  0.5000  4 Ce 3.23, 4 Dy 3.54
Ho  0.8629  0.1371  0.5000  4 Ce 3.25, 4 Dy 3.52
Ho  0.9095  0.5486  0.5000  2 Ce 3.37, 6 Dy 3.46-3.63, 3 Ho 3.53-3.64

Density of states at the Fermi level, states/eV per cell: 46.2
Total DFT energy (no corrections), eV/cell: -113.1
Formation energy, meV per atom: 99

=====

A plane-wave DFT calculation with PBE-GGA was carried out for an optimized crystal structure of RuCl3O.

Unit cell a=4.5045 b=4.5045 c=4.5045 alpha=90.00 beta=90.00 gamma=90.00
Closest atoms and distances in Å follow each position.
Element x y z (fractional)
Ru  0.0000  0.0000  0.0000  12 Cl 3.19
Cl  0.0000  0.5000  0.5000  2 O 2.25
Cl  0.5000  0.0000  0.5000  2 O 2.25
Cl  0.5000  0.5000  0.0000  2 O 2.25
O  0.5000  0.5000  0.5000  6 Cl 2.25

Excess energy over the best structure of this formula in the dataset, meV/atom: 1481
Density of states at the Fermi level, states/eV per cell: 3.3
Total DFT energy (no corrections), eV/cell: -14.6

=====

A plane-wave DFT calculation with PBE-GGA was carried out for an optimized crystal structure of LiLa2PmS5.

Unit cell a=8.6326 b=8.6326 c=12.1305 alpha=90.00 beta=90.00 gamma=152.66
Closest atoms and distances in Å follow each position.
Element x y z (fractional)
Li  0.0127  0.9873  0.5000  4 S 2.36-2.51
Li  0.9873  0.0127  0.0000  4 S 2.36-2.51
La  0.3780  0.6220  0.3162  8 S 2.91-3.19
La  0.3905  0.6095  0.7014  8 S 2.92-3.13
La  0.6095  0.3905  0.2014  8 S 2.92-3.13
La  0.6220  0.3780  0.8162  8 S 2.91-3.19
Pm  0.3034  0.6966  0.0182  6 S 2.70-2.83
Pm  0.6966  0.3034  0.5182  6 S 2.70-2.83
S  0.0012  0.9988  0.3021  1 Li 2.41
S  0.1366  0.8634  0.0174  1 Li 2.51, 1 Pm 2.80
S  0.1928  0.8072  0.3594  2 Pm 2.81, 2 La 3.13
S  0.2097  0.7903  0.6791  2 Pm 2.83, 3 La 3.02-3.04
S  0.4565  0.5435  0.0873  2 Li 2.36
S  0.5435  0.4565  0.5873  2 Li 2.36
S  0.7903  0.2097  0.1791  2 Pm 2.83, 3 La 3.02-3.04
S  0.8072  0.1928  0.8594  2 Pm 2.81, 2 La 3.13
S  0.8634  0.1366  0.5174  1 Li 2.51, 1 Pm 2.80
S  0.9988  0.0012  0.8021  1 Li 2.41

Total DFT energy (no corrections), eV/cell: -110.1

=====

Question: total DFT energy (no corrections) of number 3 (RuCl3O)?
Answer: -14.6 eV/cell